Version i
NbAlGa3 | the Alexandria database | PBE | relaxed; DOS at the Fermi energy = 11.18 states/eV per cell
1.0
4.7949 -5.5371 0.0000
4.7949 5.5371 0.0000
0.0000 0.0000 6.5348
Nb Al Ga
4 4 12
Cartesian
4.7949 3.1810 5.8146
4.7949 2.3562 2.5472
4.7949 -2.3562 3.9876
4.7949 -3.1810 0.7202
2.3974 2.0950 4.9011
2.3974 -2.0950 1.6337
7.1923 2.0950 4.9011
7.1923 -2.0950 1.6337
4.7949 5.0263 1.2488
1.5508 1.1624 2.6811
3.2440 1.1624 0.5863
1.5508 -1.1624 3.8537
3.2440 -1.1624 5.9485
4.7949 0.5109 4.5162
4.7949 -0.5109 2.0186
6.3457 1.1624 0.5863
8.0389 1.1624 2.6811
6.3457 -1.1624 5.9485
8.0389 -1.1624 3.8537
4.7949 -5.0263 5.2860

Version ii
NbAlGa3 | the Alexandria database | PBE | relaxed; DOS at the Fermi energy = 3.57 states/eV per cell
1.0
5.0789 0.0000 0.0000
0.0000 5.0789 0.0000
0.0000 0.0000 5.0789
Nb Al Ga
1 1 3
Cartesian
0.0000 0.0000 0.0000
2.5394 2.5394 2.5394
0.0000 0.0000 2.5394
0.0000 2.5394 0.0000
2.5394 0.0000 0.0000

The structure with the least stability is version ii.

Version i
Nd6Al2Ga | the Alexandria database | PBE | relaxed; DOS at the Fermi energy = 14.00 states/eV per cell
1.0
8.1472 -3.6573 0.0000
8.1472 3.6573 0.0000
-1.6319 0.0000 4.9098
Nd Al Ga
6 2 1
Cartesian
4.9080 1.8380 1.6450
8.1472 1.8560 0.0000
9.7545 1.8380 3.2649
4.9080 -1.8380 1.6450
8.1472 -1.8560 0.0000
9.7545 -1.8380 3.2649
4.0768 0.0000 4.0952
10.5857 0.0000 0.8147
-0.8159 0.0000 2.4549

Version ii
Nd6Al2Ga | the Alexandria database | PBE | relaxed; DOS at the Fermi energy = 21.04 states/eV per cell
1.0
-5.0939 5.1385 5.1516
5.0939 -5.1385 5.1516
5.0939 5.1385 -5.1516
Nd Al Ga
12 4 2
Cartesian
5.0939 -2.8794 3.3720
3.0873 0.0000 2.6324
7.1005 0.0000 2.6324
3.3137 2.6811 0.0000
6.8742 2.6811 0.0000
0.0000 2.2591 1.7796
5.0939 2.8794 3.3720
-1.7803 2.4574 5.1516
1.7803 2.4574 5.1516
-2.0066 5.1385 2.5191
2.0066 5.1385 2.5191
0.0000 8.0179 1.7796
1.3712 0.0000 0.0000
8.8166 0.0000 0.0000
0.0000 0.0000 3.8483
0.0000 0.0000 6.4548
5.0939 0.0000 0.0000
0.0000 5.1385 0.0000

The structure with the least stability is version i.

Version i
Nd2AlGa3 | the Alexandria database | PBE | relaxed; DOS at the Fermi energy = 4.66 states/eV per cell
1.0
0.0000 4.3082 7.4674
4.2889 0.0000 7.4674
4.2889 4.3082 0.0000
Nd Al Ga
4 2 6
Cartesian
6.4578 4.3082 7.4674
2.1445 2.1541 3.7337
6.4334 6.4623 11.2011
2.1200 4.3082 7.4674
4.2889 4.3082 4.9838
4.2889 4.3082 9.9510
4.2889 4.3082 2.4892
4.2889 2.1543 6.2269
4.2889 2.1543 8.7079
4.2889 6.4620 6.2269
4.2889 6.4620 8.7079
4.2889 4.3082 12.4456

Version ii
Nd2AlGa3 | the Alexandria database | PBE | relaxed; DOS at the Fermi energy = 2.92 states/eV per cell
1.0
-2.0886 2.1882 7.5356
2.0886 -2.1882 7.5356
2.0886 2.1882 -7.5356
Nd Al Ga
2 1 3
Cartesian
0.0000 0.0000 0.0000
0.0000 2.1882 3.9040
0.0000 0.0000 8.8642
2.0886 0.0000 2.5762
2.0886 0.0000 5.0648
0.0000 0.0000 6.3622

The structure with the least stability is version ii.

Version i
NdAl3Ga3 | the Alexandria database | PBE | relaxed; DOS at the Fermi energy = 4.91 states/eV per cell
1.0
0.0000 5.9689 5.9689
5.9689 0.0000 5.9689
5.9689 5.9689 0.0000
Nd Al Ga
2 6 6
Cartesian
2.9844 2.9844 2.9844
8.9533 8.9533 8.9533
5.9689 5.9689 1.8360
5.9689 1.8360 5.9689
10.1017 5.9689 5.9689
1.8360 5.9689 5.9689
5.9689 10.1017 5.9689
5.9689 5.9689 10.1017
5.9689 5.9689 4.1622
5.9689 4.1622 5.9689
7.7755 5.9689 5.9689
4.1622 5.9689 5.9689
5.9689 7.7755 5.9689
5.9689 5.9689 7.7755

Version ii
NdAl3Ga3 | the Alexandria database | PBE | relaxed; DOS at the Fermi energy = 4.88 states/eV per cell
1.0
6.9801 0.0000 0.0000
0.0000 6.9801 0.0000
0.0000 0.0000 6.9801
Nd Al Ga
2 6 6
Cartesian
0.0000 0.0000 0.0000
3.4900 3.4900 3.4900
0.0000 1.7450 3.4900
0.0000 5.2351 3.4900
1.7450 3.4900 0.0000
3.4900 0.0000 1.7450
3.4900 0.0000 5.2351
5.2351 3.4900 0.0000
0.0000 3.4900 1.7450
0.0000 3.4900 5.2351
1.7450 0.0000 3.4900
3.4900 1.7450 0.0000
3.4900 5.2351 0.0000
5.2351 0.0000 3.4900

The structure with the least stability is version i.

Version i
Nd8AlGa2 | the Alexandria database | PBE | relaxed; DOS at the Fermi energy = 11.73 states/eV per cell
1.0
9.2806 -2.5692 0.0000
9.2806 2.5692 0.0000
-2.4474 0.0000 6.8987
Nd Al Ga
8 1 2
Cartesian
-0.3179 0.0000 1.8378
1.7431 0.0000 5.5769
4.9032 0.0000 3.7054
7.4797 0.0000 0.2351
8.6341 0.0000 6.6636
11.2106 0.0000 3.1933
14.3707 0.0000 1.3217
16.4317 0.0000 5.0609
8.0569 0.0000 3.4493
2.8074 0.0000 1.4468
13.3063 0.0000 5.4519

Version ii
Nd8AlGa2 | the Alexandria database | PBE | relaxed; DOS at the Fermi energy = 11.83 states/eV per cell
1.0
-2.5310 4.3045 7.4607
2.5310 -4.3045 7.4607
2.5310 4.3045 -7.4607
Nd Al Ga
8 1 2
Cartesian
2.5310 2.3829 -2.3908
0.0000 0.0000 2.0842
0.0000 2.7272 0.0000
2.5310 2.3829 2.3908
0.0000 1.9215 5.0699
0.0000 5.8817 0.0000
0.0000 0.0000 12.8372
0.0000 1.9215 9.8515
2.5310 0.0000 0.0000
2.5310 0.0000 4.5924
0.0000 4.3045 2.8683

The structure with the least stability is version ii.

Version i
NdAlGaPd | the Alexandria database | PBE | relaxed; DOS at the Fermi energy = 1.81 states/eV per cell
1.0
0.0000 3.4102 3.4102
3.4102 0.0000 3.4102
3.4102 3.4102 0.0000
Nd Al Ga Pd
1 1 1 1
Cartesian
0.0000 0.0000 0.0000
3.4102 3.4102 3.4102
1.7051 1.7051 1.7051
5.1153 5.1153 5.1153

Version ii
NdAlGaPd | the Alexandria database | PBE | relaxed; DOS at the Fermi energy = 1.72 states/eV per cell
1.0
2.1392 1.2351 5.2958
-2.1392 1.2351 5.2958
0.0000 -2.4702 5.2958
Nd Al Ga Pd
1 1 1 1
Cartesian
0.0000 0.0000 0.0000
0.0000 0.0000 12.5850
0.0000 0.0000 3.4185
0.0000 0.0000 7.8885

The structure with the least stability is version i.